No. 1
This record from the Alexandria database describes crystalline ZnCu2Ni at its relaxed geometry. The functional is PBE.

total energy	-3.8960	eV per atom
calculated formation energy	-1.94	kcal/mol of atoms

Unit cell a=3.6234 b=3.6234 c=7.3407 alpha=90.00 beta=90.00 gamma=90.00
With the nearest neighbours (Å) after each atom.
Space group I4/mmm (No. 139)
Asymmetric unit:
Zn 0.0000 0.0000 0.0000 [2 per cell]  4 Ni 2.56, 8 Cu 2.58
Cu 0.0000 0.5000 0.2500 [4 per cell]  4 Cu 2.56, 4 Ni 2.58, 4 Zn 2.58
Ni 0.0000 0.0000 0.5000 [2 per cell]  4 Zn 2.56, 8 Cu 2.58

---

No. 2
This record from the Alexandria database describes crystalline FeCuSn6 at its relaxed geometry. The functional is PBE.

total energy	-4.3618	eV per atom
calculated formation energy	4.85	kcal/mol of atoms

Unit cell a=6.5048 b=9.6481 c=6.4614 alpha=90.00 beta=100.75 gamma=90.00
With the nearest neighbours (Å) after each atom.
Space group C2/m (No. 12)
Asymmetric unit:
Fe 0.0000 0.0000 0.0000 [2 per cell]  6 Sn 2.52-2.59
Cu 0.0000 0.5000 0.5000 [2 per cell]  6 Sn 2.58-2.82
Sn 0.1864 0.1741 0.2783 [8 per cell]  1 Fe 2.59, 1 Cu 2.82
Sn 0.1894 0.5000 0.1823 [4 per cell]  1 Fe 2.52, 1 Cu 2.58

---

No. 3
This record from the Alexandria database describes crystalline HoMgSc2Cu4 at its relaxed geometry. The functional is PBE.

total energy	-4.6204	eV per atom
calculated formation energy	-5.02	kcal/mol of atoms

Unit cell a=4.6232 b=4.6232 c=23.0139 alpha=90.00 beta=90.00 gamma=120.00
With the nearest neighbours (Å) after each atom.
Space group R-3m (No. 166, hexagonal axes)
Asymmetric unit:
Ho 0.0000 0.0000 0.0000 [3 per cell]  8 Cu 2.87-2.89
Mg 0.0000 0.0000 0.5000 [3 per cell]  8 Cu 2.74-2.84
Sc 0.0000 0.0000 0.2454 [6 per cell]  7 Cu 2.78-2.82
Cu 0.0000 0.0000 0.1248 [6 per cell]  4 Sc 2.78-2.80, 3 Mg 2.84, 1 Ho 2.87
Cu 0.0000 0.0000 0.3811 [6 per cell]  1 Mg 2.74, 3 Sc 2.82, 3 Ho 2.89

---

No. 4
This record from the Alexandria database describes crystalline PmTcGeAs at its relaxed geometry. The functional is PBE.

total energy	-6.3967	eV per atom
calculated formation energy	-6.94	kcal/mol of atoms

Unit cell a=6.6939 b=6.6939 c=6.6939 alpha=90.00 beta=90.00 gamma=90.00
With the nearest neighbours (Å) after each atom.
Space group F-43m (No. 216)
Asymmetric unit:
Pm 0.0000 0.0000 0.0000 [4 per cell]  4 Ge 2.90, 4 As 2.90
Tc 0.0000 0.0000 0.5000 [4 per cell]  4 Ge 2.90, 4 As 2.90
Ge 0.2500 0.2500 0.2500 [4 per cell]  4 Tc 2.90, 4 Pm 2.90
As 0.2500 0.2500 0.7500 [4 per cell]  4 Tc 2.90, 4 Pm 2.90

---

No. 5
This record from the Alexandria database describes crystalline Nd2SmZr at its relaxed geometry. The functional is PBE.

polymorph energy (0 for the lowest one)	0.2023	eV/atom
total energy	-5.3728	eV per atom
calculated formation energy	7.56	kcal/mol of atoms

Unit cell a=3.4361 b=3.4361 c=36.7578 alpha=90.00 beta=90.00 gamma=120.00
With the nearest neighbours (Å) after each atom.
Space group R-3m (No. 166, hexagonal axes)
Asymmetric unit:
Nd 0.0000 0.0000 0.0848 [6 per cell]  1 Zr 3.12, 6 Nd 3.44
Sm 0.0000 0.0000 0.5000 [3 per cell]  6 Sm 3.44, 6 Nd 3.60
Zr 0.0000 0.0000 0.0000 [3 per cell]  2 Nd 3.12, 6 Zr 3.44

---

No. 6
This record from the Alexandria database describes crystalline NdGaGe2O7 at its relaxed geometry. The functional is PBE.

formation energy from raw total energies	-2148	meV per atom
total energy	-6.8513	eV per atom

Unit cell a=7.3426 b=6.6720 c=13.0414 alpha=90.00 beta=117.64 gamma=90.00
With the nearest neighbours (Å) after each atom.
Space group P2_1/c (No. 14)
Asymmetric unit:
Nd 0.2392 0.1465 0.4747 [4 per cell]  6 O 2.38-2.54
Ga 0.2141 0.0998 0.7314 [4 per cell]  5 O 1.88-2.02
Ge 0.2142 0.6587 0.4554 [4 per cell]  4 O 1.72-1.81
Ge 0.2991 0.5883 0.7193 [4 per cell]  4 O 1.77-1.83
O 0.0093 0.6619 0.9208 [4 per cell]  1 Ge 1.81, 1 Ga 1.94
O 0.1527 0.6887 0.1852 [4 per cell]  1 Ge 1.77
O 0.2091 0.0508 0.8717 [4 per cell]  1 Ge 1.76, 1 Ga 1.88
O 0.2198 0.1104 0.2788 [4 per cell]  1 Ge 1.77
O 0.2532 0.5017 0.5762 [4 per cell]  2 Ge 1.80-1.83
O 0.4084 0.6731 0.9797 [4 per cell]  1 Ge 1.72
O 0.4320 0.1234 0.6935 [4 per cell]  1 Ge 1.78, 1 Ga 1.89

---

Calculated values (states/eV per atom) of DOS(E_F) for the records, taken in order: 0.443, 0.626, 0.748, 0.276, 1.297, 0.000.